Entry 1:
VASP calculation (PBE) on an optimized crystal structure of Hf4CuTc2.

**Spin magnetization**: 0.00 μB per cell
**Raw total energy**: -66.1 eV per cell
**Energy of formation from the pure elements**: -0.203 eV per atom

Unit cell a=4.557 b=4.557 c=6.489 alpha=90.00 beta=90.00 gamma=90.00
Space group P4/mmm (No. 123)
Unique sites:
Hf: 0.000 0.500 0.246
Cu: 0.000 0.000 0.500
Tc: 0.000 0.000 0.000
Tc: 0.500 0.500 0.500


Entry 2:
VASP calculation (PBE) on an optimized crystal structure of CsNb2H.

**Spin magnetization**: 0.01 μB per cell
**Raw total energy**: -61.9 eV per cell
**Energy above the most stable polymorph in this dataset**: 1.166 eV/atom

Unit cell a=6.594 b=6.594 c=6.594 alpha=90.00 beta=90.00 gamma=90.00
Space group Fm-3m (No. 225)
Unique sites:
Cs: 0.000 0.000 0.000
Nb: 0.250 0.250 0.250
H: 0.000 0.000 0.500


Entry 3:
VASP calculation (PBE) on an optimized crystal structure of Ga2AgBr5.

**Spin magnetization**: 0.00 μB per cell
**Raw total energy**: -87.7 eV per cell
**Raw formation energy**: -0.58 eV/atom

Unit cell a=3.997 b=17.711 c=16.433 alpha=90.00 beta=90.00 gamma=90.00
Space group Cmcm (No. 63)
Unique sites:
Ga: 0.000 0.066 0.175
Ag: 0.000 0.152 0.750
Br: 0.000 0.056 0.616
Br: 0.000 0.250 0.250
Br: 0.000 0.373 0.607


Entry 4:
VASP calculation (PBE) on an optimized crystal structure of Ca3Al3Ga2.

**Spin magnetization**: 0.00 μB per cell
**Raw total energy**: -104.3 eV per cell
**Energy of formation from the pure elements**: -0.347 eV per atom

Unit cell a=8.272 b=15.452 c=5.915 alpha=90.00 beta=90.00 gamma=90.00
Space group Pnma (No. 62)
Unique sites:
Ca: 0.038 0.112 0.122
Ca: 0.183 0.250 0.609
Al: 0.176 0.750 0.602
Al: 0.187 0.034 0.610
Ga: 0.101 0.607 0.381


Entry 5:
VASP calculation (PBE) on an optimized crystal structure of CdHg3Pd12.

**Spin magnetization**: 0.00 μB per cell
**Raw total energy**: -66.2 eV per cell
**Energy of formation from the pure elements**: -0.132 eV per atom

Unit cell a=4.036 b=4.036 c=16.253 alpha=90.00 beta=90.00 gamma=90.00
Space group P4/mmm (No. 123)
Unique sites:
Cd: 0.000 0.000 0.000
Hg: 0.000 0.000 0.249
Hg: 0.000 0.000 0.500
Pd: 0.000 0.500 0.124
Pd: 0.000 0.500 0.375
Pd: 0.500 0.500 0.000
Pd: 0.500 0.500 0.249
Pd: 0.500 0.500 0.500


Entry 6:
VASP calculation (PBE) on an optimized crystal structure of KYZnBr6.

**Spin magnetization**: 0.00 μB per cell
**Raw total energy**: -64.6 eV per cell
**Raw formation energy**: -1.49 eV/atom

Unit cell a=7.0958 b=7.0958 c=14.6809 alpha=90.00 beta=90.00 gamma=120.00
Space group P-31c (No. 163)
Unique sites:
K: 0.0000 0.0000 0.0000
Y: 0.3333 0.6667 0.2500
Zn: 0.3333 0.6667 0.7500
Br: 0.0160 0.3785 0.6429


Entry 7:
VASP calculation (PBE) on an optimized crystal structure of LaMoN3.

**Spin magnetization**: 0.00 μB per cell
**Raw total energy**: -356.5 eV per cell
**Raw formation energy**: -0.76 eV/atom

Unit cell a=10.552 b=11.154 c=5.174 alpha=90.00 beta=90.33 gamma=90.00
Space group C2/c (No. 15)
Unique sites:
La: 0.227 0.112 0.306
Mo: 0.000 0.190 0.750
Mo: 0.000 0.423 0.250
N: 0.073 0.280 0.472
N: 0.117 0.475 0.978
N: 0.136 0.097 0.850


Entry 8:
VASP calculation (PBE) on an optimized crystal structure of Ac12Co5Bi.

**Spin magnetization**: 0.00 μB per cell
**Raw total energy**: -181.4 eV per cell
**Energy of formation from the pure elements**: -0.111 eV per atom

Unit cell a=10.492 b=10.589 c=10.769 alpha=90.00 beta=90.00 gamma=90.00
Space group Immm (No. 71)
Unique sites:
Ac: 0.000 0.186 0.187
Ac: 0.185 0.500 0.183
Ac: 0.190 0.315 0.500
Co: 0.000 0.000 0.000
Co: 0.000 0.385 0.000
Co: 0.000 0.500 0.392
Bi: 0.000 0.000 0.500


Entry 9:
VASP calculation (PBE) on an optimized crystal structure of YTaGa2.

**Spin magnetization**: 4.16 μB per cell
**Raw total energy**: -99.2 eV per cell
**Energy of formation from the pure elements**: -0.107 eV per atom
**Energy above the most stable polymorph in this dataset**: 0.000 eV/atom

Unit cell a=6.778 b=6.778 c=6.778 alpha=90.00 beta=90.00 gamma=90.00
Space group Fm-3m (No. 225)
Unique sites:
Y: 0.000 0.000 0.000
Ta: 0.000 0.000 0.500
Ga: 0.250 0.250 0.250


Entry 10:
VASP calculation (PBE) on an optimized crystal structure of Ti5In2Bi.

**Spin magnetization**: 0.00 μB per cell
**Raw total energy**: -99.7 eV per cell
**Energy of formation from the pure elements**: -0.127 eV per atom

Unit cell a=4.234 b=4.234 c=16.948 alpha=90.00 beta=90.00 gamma=90.00
Space group I4/mmm (No. 139)
Unique sites:
Ti: 0.000 0.000 0.000
Ti: 0.000 0.500 0.123
In: 0.000 0.000 0.249
Bi: 0.000 0.000 0.500


Entry 11:
VASP calculation (PBE) on an optimized crystal structure of TaCo2Au.

**Spin magnetization**: 0.00 μB per cell
**Raw total energy**: -118.1 eV per cell
**Energy of formation from the pure elements**: -0.047 eV per atom
**Energy above the most stable polymorph in this dataset**: 0.051 eV/atom

Unit cell a=6.052 b=6.052 c=6.052 alpha=90.00 beta=90.00 gamma=90.00
Space group Fm-3m (No. 225)
Unique sites:
Ta: 0.000 0.000 0.000
Co: 0.250 0.250 0.250
Au: 0.000 0.000 0.500


Entry 12:
VASP calculation (PBE) on an optimized crystal structure of ReS2Br.

**Spin magnetization**: 0.00 μB per cell
**Raw total energy**: -60.2 eV per cell
**Raw formation energy**: 0.58 eV/atom
**Energy above the most stable polymorph in this dataset**: 0.560 eV/atom

Unit cell a=2.8350 b=2.8350 c=38.1919 alpha=90.00 beta=90.00 gamma=120.00
Space group R-3m (No. 166, hexagonal axes)
Unique sites:
Re: 0.0000 0.0000 0.0000
S: 0.0000 0.0000 0.0602
Br: 0.0000 0.0000 0.5000


Entry 13:
VASP calculation (PBE) on an optimized crystal structure of LiReTe2.

**Spin magnetization**: 0.00 μB per cell
**Raw total energy**: -19.9 eV per cell
**Raw formation energy**: 0.18 eV/atom
**Energy above the most stable polymorph in this dataset**: 0.147 eV/atom

Unit cell a=3.324 b=3.324 c=7.312 alpha=90.00 beta=90.00 gamma=90.00
Space group P4/mmm (No. 123)
Unique sites:
Li: 0.000 0.000 0.000
Re: 0.000 0.000 0.500
Te: 0.500 0.500 0.273


Entry 14:
VASP calculation (PBE) on an optimized crystal structure of Mg2CdReB.

**Spin magnetization**: 0.00 μB per cell
**Raw total energy**: -18.9 eV per cell
**Energy of formation from the pure elements**: 0.859 eV per atom

Unit cell a=5.192 b=5.192 c=4.025 alpha=90.00 beta=90.00 gamma=90.00
Space group P4/mmm (No. 123)
Unique sites:
Mg: 0.000 0.500 0.000
Cd: 0.000 0.000 0.500
Re: 0.500 0.500 0.000
B: 0.500 0.500 0.500


Entry 15:
VASP calculation (PBE) on an optimized crystal structure of LiCuSn2.

**Spin magnetization**: 0.00 μB per cell
**Raw total energy**: -55.5 eV per cell
**Energy of formation from the pure elements**: 0.035 eV per atom
**Energy above the most stable polymorph in this dataset**: 0.166 eV/atom

Unit cell a=4.361 b=4.361 c=18.239 alpha=90.00 beta=90.00 gamma=90.00
Space group I-42d (No. 122)
Unique sites:
Li: 0.000 0.000 0.000
Cu: 0.000 0.000 0.500
Sn: 0.245 0.250 0.625


Entry 16:
VASP calculation (PBE) on an optimized crystal structure of InMoOs2.

**Spin magnetization**: 0.00 μB per cell
**Raw total energy**: -69.0 eV per cell
**Energy of formation from the pure elements**: 0.382 eV per atom

Unit cell a=9.482 b=2.863 c=4.865 alpha=90.00 beta=100.87 gamma=90.00
Space group Cm (No. 8)
Unique sites:
In: 0.000 0.000 0.000
Mo: 0.232 0.000 0.687
Os: 0.256 0.500 0.224
Os: 0.478 0.000 0.499


Entry 17:
VASP calculation (PBE) on an optimized crystal structure of CaFe2Rh.

**Spin magnetization**: 16.76 μB per cell
**Raw total energy**: -71.9 eV per cell
**Energy of formation from the pure elements**: 0.576 eV per atom

Unit cell a=2.8638 b=2.8638 c=27.2136 alpha=90.00 beta=90.00 gamma=120.00
Space group R-3m (No. 166, hexagonal axes)
Unique sites:
Ca: 0.0000 0.0000 0.0000
Fe: 0.0000 0.0000 0.2407
Rh: 0.0000 0.0000 0.5000


Entry 18:
VASP calculation (PBE) on an optimized crystal structure of NaMgAu.

**Spin magnetization**: 0.00 μB per cell
**Raw total energy**: -28.8 eV per cell
**Energy of formation from the pure elements**: -0.337 eV per atom
**Energy above the most stable polymorph in this dataset**: 0.026 eV/atom

Unit cell a=4.256 b=13.272 c=4.700 alpha=90.00 beta=90.00 gamma=90.00
Space group Cmcm (No. 63)
Unique sites:
Na: 0.000 0.065 0.250
Mg: 0.000 0.254 0.750
Au: 0.000 0.373 0.250


Entry 19:
VASP calculation (PBE) on an optimized crystal structure of ErCuAg.

**Spin magnetization**: 0.00 μB per cell
**Raw total energy**: -47.1 eV per cell
**Energy of formation from the pure elements**: -0.092 eV per atom
**Energy above the most stable polymorph in this dataset**: 0.180 eV/atom

Unit cell a=6.395 b=6.395 c=6.395 alpha=90.00 beta=90.00 gamma=90.00
Space group F-43m (No. 216)
Unique sites:
Er: 0.000 0.000 0.000
Cu: 0.250 0.250 0.250
Ag: 0.000 0.000 0.500


Entry 20:
VASP calculation (PBE) on an optimized crystal structure of Y2ZrTiSb.

**Spin magnetization**: 0.32 μB per cell
**Raw total energy**: -30.3 eV per cell
**Raw formation energy**: 0.63 eV/atom

Unit cell a=5.592 b=5.592 c=5.344 alpha=90.00 beta=90.00 gamma=90.00
Space group P4/mmm (No. 123)
Unique sites:
Y: 0.000 0.500 0.000
Zr: 0.000 0.000 0.500
Ti: 0.500 0.500 0.500
Sb: 0.000 0.000 0.000


Entry 21:
VASP calculation (PBE) on an optimized crystal structure of LaTiO2.

**Spin magnetization**: 2.92 μB per cell
**Raw total energy**: -99.2 eV per cell
**Raw formation energy**: -2.58 eV/atom
**Energy above the most stable polymorph in this dataset**: 0.000 eV/atom

Unit cell a=3.8131 b=3.8131 c=17.5042 alpha=90.00 beta=90.00 gamma=120.00
Space group R-3m (No. 166, hexagonal axes)
Unique sites:
La: 0.0000 0.0000 0.0000
Ti: 0.0000 0.0000 0.5000
O: 0.0000 0.0000 0.3922


Entry 22:
VASP calculation (PBE) on an optimized crystal structure of TmCdBO4.

**Spin magnetization**: 0.00 μB per cell
**Raw total energy**: -185.3 eV per cell
**Raw formation energy**: -2.06 eV/atom

Unit cell a=5.784 b=6.358 c=8.381 alpha=90.00 beta=90.00 gamma=90.00
Space group Imma (No. 74)
Unique sites:
Tm: 0.000 0.000 0.000
Cd: 0.250 0.250 0.250
B: 0.000 0.250 0.630
O: 0.000 0.057 0.734
O: 0.224 0.250 0.519


Entry 23:
VASP calculation (PBE) on an optimized crystal structure of La2YCo.

**Spin magnetization**: 0.00 μB per cell
**Raw total energy**: -47.0 eV per cell
**Energy of formation from the pure elements**: -0.024 eV per atom
**Energy above the most stable polymorph in this dataset**: 0.079 eV/atom

Unit cell a=5.738 b=11.571 c=3.890 alpha=90.00 beta=90.00 gamma=90.00
Space group Cmmm (No. 65)
Unique sites:
La: 0.000 0.153 0.000
Y: 0.000 0.500 0.500
Co: 0.000 0.000 0.500